A plane-wave DFT calculation with GGA-PBEsol was carried out for a relaxed Sc3In crystal.

Results
Magnetization, μB per formula unit: 0.003
Raw total energy, eV per atom: -5.9527

Lattice parameters (Å, degrees): 3.2971 4.3871 6.2246 90.00 90.00 90.00
Positions (direct):
1 Sc 0.5000 0.5000 0.7485
2 Sc 0.0000 0.0000 0.5000
3 Sc 0.5000 0.5000 0.2515
4 In 0.0000 0.0000 0.0000